Entry 1:
# PBE Hf4Ni3Ir2, relaxed
data_Hf4Ni3Ir2
_cell_length_a 4.0599
_cell_length_b 4.7969
_cell_length_c 8.7908
_cell_angle_alpha 74.48
_cell_angle_beta 76.69
_cell_angle_gamma 65.02
_space_group_name_H-M_alt 'P -1'
_space_group_IT_number 2
loop_
_space_group_symop_operation_xyz
'x,y,z'
'-x,-y,-z'
loop_
_atom_site_label
_atom_site_fract_x
_atom_site_fract_y
_atom_site_fract_z
_atom_site_occupancy
Hf1 0.0954 0.1845 0.1242 1
Hf2 0.3682 0.3747 0.3890 1
Ni1 0.0000 0.0000 0.5000 1
Ni2 0.3850 0.6287 0.1026 1
Ir1 0.2928 0.1971 0.7163 1
# V in A^3/atom: 16.46
# ΔE_f in meV per atom: -619

***

Entry 2:
# PBE BeSeBr2, relaxed
data_BeSeBr2
_cell_length_a 3.4058
_cell_length_b 9.0692
_cell_length_c 8.4391
_cell_angle_alpha 90.00
_cell_angle_beta 90.00
_cell_angle_gamma 90.00
_space_group_name_H-M_alt 'C m m 2'
_space_group_IT_number 35
loop_
_space_group_symop_operation_xyz
'x,y,z'
'-x,-y,z'
'-x,y,z'
'x,-y,z'
'x+1/2,y+1/2,z'
'-x+1/2,-y+1/2,z'
'-x+1/2,y+1/2,z'
'x+1/2,-y+1/2,z'
loop_
_atom_site_label
_atom_site_fract_x
_atom_site_fract_y
_atom_site_fract_z
_atom_site_occupancy
Be1 0.0000 0.0000 0.0000 1
Se1 0.0000 0.5000 0.1748 1
Br1 0.0000 0.0000 0.4290 1
Br2 0.0000 0.5000 0.8227 1
# Formation energy (no corrections) in eV/atom: -0.0909
# V in A^3/atom: 32.58

***

Entry 3:
# PBE Rb3CaSe2O6, relaxed
data_Rb3CaSe2O6
_cell_length_a 6.0664
_cell_length_b 6.0664
_cell_length_c 7.4386
_cell_angle_alpha 90.00
_cell_angle_beta 90.00
_cell_angle_gamma 120.00
_space_group_name_H-M_alt 'P -3 m 1'
_space_group_IT_number 164
_space_group_name_Hall '-P 3 2"'
loop_
_atom_site_label
_atom_site_fract_x
_atom_site_fract_y
_atom_site_fract_z
_atom_site_occupancy
Rb1 0.0000 0.0000 0.0000 1
Rb2 0.3333 0.6667 0.6730 1
Ca1 0.0000 0.0000 0.5000 1
Se1 0.3333 0.6667 0.2035 1
O1 0.1842 0.3685 0.3124 1
# Formation energy (no corrections) in eV/atom: -1.4857
# V in A^3/atom: 19.76

***

Which of these has the highest V? BeSeBr2

***

Which of these has the lowest V? Hf4Ni3Ir2

***

Please write out number 2 again, unchanged.
# PBE BeSeBr2, relaxed
data_BeSeBr2
_cell_length_a 3.4058
_cell_length_b 9.0692
_cell_length_c 8.4391
_cell_angle_alpha 90.00
_cell_angle_beta 90.00
_cell_angle_gamma 90.00
_space_group_name_H-M_alt 'C m m 2'
_space_group_IT_number 35
loop_
_space_group_symop_operation_xyz
'x,y,z'
'-x,-y,z'
'-x,y,z'
'x,-y,z'
'x+1/2,y+1/2,z'
'-x+1/2,-y+1/2,z'
'-x+1/2,y+1/2,z'
'x+1/2,-y+1/2,z'
loop_
_atom_site_label
_atom_site_fract_x
_atom_site_fract_y
_atom_site_fract_z
_atom_site_occupancy
Be1 0.0000 0.0000 0.0000 1
Se1 0.0000 0.5000 0.1748 1
Br1 0.0000 0.0000 0.4290 1
Br2 0.0000 0.5000 0.8227 1
# Formation energy (no corrections) in eV/atom: -0.0909
# V in A^3/atom: 32.58